(1)
## TiNiRh3 (GGA-PBE)

Data for a relaxed structure of TiNiRh3.

a = 4.4207 Å, b = 4.4207 Å, c = 4.4207 Å
α = 90.00°, β = 90.00°, γ = 90.00°
Last column: nearest neighbours and their distance in Å.
Element x y z (fractional)
Ti 0.0000 0.0000 0.0000  12 Rh 3.13
Ni 0.5000 0.5000 0.5000  6 Rh 2.21
Rh 0.0000 0.5000 0.5000  2 Ni 2.21
Rh 0.5000 0.0000 0.5000  2 Ni 2.21
Rh 0.5000 0.5000 0.0000  2 Ni 2.21

Summary:
The magnetization comes out at 0.34 μB per atom. The value obtained for the raw total energy is -31.86 eV for the cell shown. Its density is 7.98 g/cm3. The excess energy over the best structure of this formula in the dataset is 1165 meV per atom. As for the formation energy: 773.9 meV per atom.



(2)
## CeTm4Ru5 (GGA-PBE)

Data for a relaxed structure of CeTm4Ru5.

a = 3.3804 Å, b = 3.3804 Å, c = 16.8145 Å
α = 90.00°, β = 90.00°, γ = 90.00°
Last column: nearest neighbours and their distance in Å.
Element x y z (fractional)
Ce 0.0000 0.0000 0.0000  8 Ru 2.87
Tm 0.0000 0.0000 0.2045  8 Ru 2.88-3.03
Tm 0.0000 0.0000 0.4011  8 Ru 2.91-2.94
Tm 0.0000 0.0000 0.5989  8 Ru 2.91-2.94
Tm 0.0000 0.0000 0.7955  8 Ru 2.88-3.03
Ru 0.5000 0.5000 0.0942  4 Ce 2.87, 4 Tm 3.03, 1 Ru 3.17
Ru 0.5000 0.5000 0.2996  8 Tm 2.88-2.94
Ru 0.5000 0.5000 0.5000  8 Tm 2.91
Ru 0.5000 0.5000 0.7004  8 Tm 2.88-2.94
Ru 0.5000 0.5000 0.9058  4 Ce 2.87, 4 Tm 3.03, 1 Ru 3.17

Summary:
The magnetization comes out at 0.00 μB per atom. The value obtained for the raw total energy is -74.57 eV for the cell shown. Its density is 11.42 g/cm3. As for the formation energy: -437.4 meV per atom.



(3)
## Th2MnGa3Pt4 (GGA-PBE)

Data for a relaxed structure of Th2MnGa3Pt4.

a = 4.1871 Å, b = 4.1871 Å, c = 10.9737 Å
α = 90.00°, β = 90.00°, γ = 90.00°
Last column: nearest neighbours and their distance in Å.
Element x y z (fractional)
Th 0.0000 0.5000 0.2472  8 Pt 3.18-3.48, 6 Ga 3.25-3.43, 2 Mn 3.43
Th 0.5000 0.0000 0.7528  8 Pt 3.18-3.48, 6 Ga 3.25-3.43, 2 Mn 3.43
Mn 0.5000 0.5000 0.0000  4 Pt 2.60
Ga 0.0000 0.0000 0.0000  4 Pt 2.60
Ga 0.0000 0.5000 0.6317  5 Pt 2.49-2.54
Ga 0.5000 0.0000 0.3683  5 Pt 2.49-2.54
Pt 0.0000 0.0000 0.5000  4 Ga 2.54
Pt 0.0000 0.5000 0.8588  3 Ga 2.49-2.60, 2 Mn 2.60
Pt 0.5000 0.0000 0.1412  3 Ga 2.49-2.60, 2 Mn 2.60
Pt 0.5000 0.5000 0.5000  4 Ga 2.54

Summary:
The magnetization comes out at 0.32 μB per atom. The value obtained for the raw total energy is -65.79 eV for the cell shown. Its density is 13.02 g/cm3. As for the formation energy: -853.6 meV per atom.



(4)
## SrTiTl2F8 (GGA-PBE)

Data for a relaxed structure of SrTiTl2F8.

a = 4.8393 Å, b = 7.3452 Å, c = 6.5070 Å
α = 90.00°, β = 93.64°, γ = 90.00°
Last column: nearest neighbours and their distance in Å.
Element x y z (fractional)
Sr 0.0000 0.0000 0.0000  6 F 2.39-2.59
Ti 0.0000 0.5000 0.0000  6 F 1.85-1.93
Tl 0.5000 0.2620 0.5000  4 F 2.58-2.89
Tl 0.5000 0.7380 0.5000  4 F 2.58-2.89
F 0.1208 0.3050 0.8286  1 Ti 1.93
F 0.1208 0.6950 0.8286  1 Ti 1.93
F 0.3295 0.5000 0.1611  1 Ti 1.85
F 0.3921 0.0000 0.2422  1 Sr 2.39, 2 Tl 2.58
F 0.6079 0.0000 0.7578  1 Sr 2.39, 2 Tl 2.58
F 0.6705 0.5000 0.8389  1 Ti 1.85
F 0.8792 0.3050 0.1714  1 Ti 1.93
F 0.8792 0.6950 0.1714  1 Ti 1.93

Summary:
The magnetization comes out at 0.00 μB per atom. The value obtained for the raw total energy is -65.11 eV for the cell shown. The uncorrected formation energy is -35.83 eV per formula unit. Its density is 5.01 g/cm3.



(5)
## PmAgSnHg (GGA-PBE)

Data for a relaxed structure of PmAgSnHg.

a = 5.1619 Å, b = 5.1619 Å, c = 5.1619 Å
α = 60.00°, β = 60.00°, γ = 60.00°
Last column: nearest neighbours and their distance in Å.
Element x y z (fractional)
Pm 0.0000 0.0000 0.0000  4 Ag 3.16, 4 Hg 3.16
Ag 0.7500 0.7500 0.7500  4 Sn 3.16, 4 Pm 3.16
Sn 0.5000 0.5000 0.5000  4 Ag 3.16, 4 Hg 3.16
Hg 0.2500 0.2500 0.2500  4 Sn 3.16, 4 Pm 3.16

Summary:
The magnetization comes out at 0.00 μB per atom. The value obtained for the raw total energy is -13.34 eV for the cell shown. Its density is 9.77 g/cm3. As for the formation energy: -357.3 meV per atom.



(6)
## ScTl2Ir (GGA-PBE)

Data for a relaxed structure of ScTl2Ir.

a = 6.9049 Å, b = 6.9049 Å, c = 6.9049 Å
α = 97.74°, β = 97.74°, γ = 136.94°
Last column: nearest neighbours and their distance in Å.
Element x y z (fractional)
Sc 0.0000 0.0000 0.0000  2 Ir 2.53
Sc 0.7500 0.2500 0.5000  2 Ir 2.53
Tl 0.2190 0.6250 0.0940  2 Ir 2.75, 2 Tl 3.06
Tl 0.3750 0.4690 0.5940  2 Ir 2.75, 2 Tl 3.06
Tl 0.5310 0.1250 0.9060  2 Ir 2.75, 2 Tl 3.06
Tl 0.8750 0.7810 0.4060  2 Ir 2.75, 2 Tl 3.06
Ir 0.2500 0.7500 0.5000  2 Sc 2.53, 4 Tl 2.75
Ir 0.5000 0.5000 0.0000  2 Sc 2.53, 4 Tl 2.75

Summary:
The magnetization comes out at 0.00 μB per atom. The value obtained for the raw total energy is -38.71 eV for the cell shown. Its density is 10.26 g/cm3. As for the formation energy: 142.2 meV per atom.



(7)
## PuPaSiPt (GGA-PBE)

Data for a relaxed structure of PuPaSiPt.

a = 4.0758 Å, b = 5.7035 Å, c = 5.7035 Å
α = 41.48°, β = 90.00°, γ = 90.00°
Last column: nearest neighbours and their distance in Å.
Element x y z (fractional)
Pu 0.0000 0.0000 0.0000  3 Pt 2.93-3.14, 4 Si 2.98
Pa 0.5000 0.2944 0.2944  4 Pt 2.96, 3 Si 2.98-3.10
Si 0.5000 0.5740 0.5740  2 Pt 2.60
Pt 0.0000 0.7255 0.7255  2 Si 2.60

Summary:
The magnetization comes out at 1.51 μB per atom. The value obtained for the raw total energy is -38.04 eV for the cell shown. The uncorrected formation energy is -2.75 eV per formula unit. Its density is 13.20 g/cm3. The excess energy over the best structure of this formula in the dataset is 0 meV per atom.



(8)
## GeAsSe2Br (GGA-PBE)

Data for a relaxed structure of GeAsSe2Br.

a = 5.1290 Å, b = 5.1290 Å, c = 5.0824 Å
α = 90.00°, β = 90.00°, γ = 90.00°
Last column: nearest neighbours and their distance in Å.
Element x y z (fractional)
Ge 0.0000 0.0000 0.0000  8 Se 3.61, 4 Br 3.63
As 0.5000 0.5000 0.5000  2 Br 2.54, 4 Se 2.56
Se 0.0000 0.5000 0.5000  2 As 2.56
Se 0.5000 0.0000 0.5000  2 As 2.56
Br 0.5000 0.5000 0.0000  2 As 2.54

Summary:
The magnetization comes out at 0.00 μB per atom. The value obtained for the raw total energy is -16.08 eV for the cell shown. The uncorrected formation energy is 1.82 eV per formula unit. Its density is 4.79 g/cm3. The excess energy over the best structure of this formula in the dataset is 0 meV per atom.



> Which of these has the highest magnetization?

PuPaSiPt



> raw total energy of number 4 (SrTiTl2F8)?

-65.11 eV for the cell shown



> The lowest raw total energy belongs to which entry?

CeTm4Ru5